Density functional theory data (PBE) for a relaxed structure of SrGa5Ag7.

Output
- raw total energy (eV for the cell shown) = -38.33
- magnetic moment (μB/cell) = 0.0

```
SrGa5Ag7
1.0
-2.734 4.769 4.719
2.734 -4.769 4.719
2.734 4.769 -4.719
Sr Ga Ag
1 5 7
direct
0.000 0.000 0.000 Sr
0.002 0.006 0.501 Ga
0.002 0.501 0.996 Ga
0.225 0.725 0.500 Ga
0.504 0.006 0.004 Ga
0.504 0.501 0.499 Ga
0.222 0.505 0.717 Ag
0.343 0.343 0.000 Ag
0.349 0.000 0.350 Ag
0.648 0.648 0.000 Ag
0.650 0.000 0.650 Ag
0.780 0.280 0.500 Ag
0.788 0.505 0.283 Ag
```



Density functional theory data (PBE) for a relaxed structure of SrGa3Ag3.

Output
- raw total energy (eV for the cell shown) = -37.97
- magnetic moment (μB/cell) = 0.0

```
SrGa3Ag3
1.0
7.170 0.000 0.000
0.000 7.170 0.000
0.000 0.000 7.170
Sr Ga Ag
2 6 6
direct
0.000 0.000 0.000 Sr
0.500 0.500 0.500 Sr
0.000 0.250 0.500 Ga
0.000 0.750 0.500 Ga
0.250 0.500 0.000 Ga
0.500 0.000 0.250 Ga
0.500 0.000 0.750 Ga
0.750 0.500 0.000 Ga
0.000 0.500 0.250 Ag
0.000 0.500 0.750 Ag
0.250 0.000 0.500 Ag
0.500 0.250 0.000 Ag
0.500 0.750 0.000 Ag
0.750 0.000 0.500 Ag
```



no.,volume (Å³/atom)
1,18.9
2,26.3